1.
KZnTe2N: PBEsol geometry, SCAN.

Results
- SG: P4/mmm (123)
- Formation energy from raw total energies: 1.4641 eV/atom
- Density: 3581 kg/m3
- Density of states at the Fermi level: 3.93 states/eV/cell
- DFT total energy: -19.663 eV per atom

Structure (POSCAR):
```
KZnTe2N
1.0
5.9881 0.0000 0.0000
0.0000 5.9881 0.0000
0.0000 0.0000 4.8328
K Zn Te N
1 1 2 1
direct
0.0000 0.0000 0.0000 K
0.5000 0.5000 0.5000 Zn
0.0000 0.5000 0.0000 Te
0.5000 0.0000 0.0000 Te
0.0000 0.0000 0.5000 N
```

---

2.
Ag2Pb: PBEsol geometry, SCAN.

Results
- SG: I4/mmm (139)
- Density: 11540 kg/m3
- Density of states at the Fermi level: 1.04 states/eV/cell
- DFT total energy: -46.047 eV per atom

Structure (POSCAR):
```
Ag2Pb
1.0
-1.8062 1.8062 4.6639
1.8062 -1.8062 4.6639
1.8062 1.8062 -4.6639
Ag Pb
2 1
direct
0.1774 0.1774 0.0000 Ag
0.8226 0.8226 0.0000 Ag
0.5000 0.5000 0.0000 Pb
```

---

3.
LuTlRh2: PBEsol geometry, SCAN.

Results
- SG: Fm-3m (225)
- Density: 14119 kg/m3
- Density of states at the Fermi level: 0.70 states/eV/cell
- DFT total energy: -49.489 eV per atom

Structure (POSCAR):
```
LuTlRh2
1.0
0.0000 3.2526 3.2526
3.2526 0.0000 3.2526
3.2526 3.2526 0.0000
Lu Tl Rh
1 1 2
direct
0.0000 0.0000 0.0000 Lu
0.5000 0.5000 0.5000 Tl
0.2500 0.2500 0.2500 Rh
0.7500 0.7500 0.7500 Rh
```

---

4.
Ru2PtCl: PBEsol geometry, SCAN.

Results
- SG: Pmmm (47)
- Formation energy from raw total energies: 0.9190 eV/atom
- Density: 12344 kg/m3
- Density of states at the Fermi level: 4.35 states/eV/cell
- DFT total energy: -36.037 eV per atom

Structure (POSCAR):
```
Ru2PtCl
1.0
2.7086 0.0000 0.0000
0.0000 4.5346 0.0000
0.0000 0.0000 4.7389
Ru Pt Cl
2 1 1
direct
0.0000 0.0000 0.0000 Ru
0.5000 0.0000 0.5000 Ru
0.0000 0.5000 0.5000 Pt
0.5000 0.5000 0.0000 Cl
```

---

5.
RbCoPCl2: PBEsol geometry, SCAN.

Results
- SG: P4/mmm (123)
- Formation energy from raw total energies: 0.8243 eV/atom
- Density: 1951 kg/m3
- Density of states at the Fermi level: 4.89 states/eV/cell
- DFT total energy: -12.055 eV per atom

Structure (POSCAR):
```
RbCoPCl2
1.0
5.8976 0.0000 0.0000
0.0000 5.8976 0.0000
0.0000 0.0000 6.0252
Rb Co P Cl
1 1 1 2
direct
0.0000 0.0000 0.0000 Rb
0.5000 0.5000 0.5000 Co
0.0000 0.0000 0.5000 P
0.0000 0.5000 0.0000 Cl
0.5000 0.0000 0.0000 Cl
```

---

6.
NaLi3Ni: PBEsol geometry, SCAN.

Results
- SG: Pm-3m (221)
- Density: 1661 kg/m3
- Density of states at the Fermi level: 1.95 states/eV/cell
- DFT total energy: -5.251 eV per atom

Structure (POSCAR):
```
NaLi3Ni
1.0
4.6795 0.0000 0.0000
0.0000 4.6795 0.0000
0.0000 0.0000 4.6795
Na Li Ni
1 3 1
direct
0.0000 0.0000 0.0000 Na
0.0000 0.5000 0.5000 Li
0.5000 0.0000 0.5000 Li
0.5000 0.5000 0.0000 Li
0.5000 0.5000 0.5000 Ni
```

---

7.
P2Os2Au: PBEsol geometry, SCAN.

Results
- SG: I4/mmm (139)
- Density: 14345 kg/m3
- Density of states at the Fermi level: 0.95 states/eV/cell
- DFT total energy: -46.879 eV per atom

Structure (POSCAR):
```
P2Os2Au
1.0
-1.8201 1.8201 5.5855
1.8201 -1.8201 5.5855
1.8201 1.8201 -5.5855
P Os Au
2 2 1
direct
0.2500 0.7500 0.5000 P
0.7500 0.2500 0.5000 P
0.1228 0.1228 0.0000 Os
0.8772 0.8772 0.0000 Os
0.5000 0.5000 0.0000 Au
```

---

8.
NaGaIrBr2: PBEsol geometry, SCAN.

Results
- SG: P4/mmm (123)
- Formation energy from raw total energies: -0.2475 eV/atom
- Density: 5588 kg/m3
- Density of states at the Fermi level: 1.70 states/eV/cell
- DFT total energy: -26.363 eV per atom

Structure (POSCAR):
```
NaGaIrBr2
1.0
5.3263 0.0000 0.0000
0.0000 5.3263 0.0000
0.0000 0.0000 4.6584
Na Ga Ir Br
1 1 1 2
direct
0.0000 0.0000 0.0000 Na
0.5000 0.5000 0.0000 Ga
0.5000 0.5000 0.5000 Ir
0.0000 0.5000 0.5000 Br
0.5000 0.0000 0.5000 Br
```

---

9.
K2SbSe: PBEsol geometry, SCAN.

Results
- SG: F-43m (216)
- Formation energy from raw total energies: -0.2860 eV/atom
- Density: 3841 kg/m3
- Density of states at the Fermi level: 2.77 states/eV/cell
- DFT total energy: -18.785 eV per atom

Structure (POSCAR):
```
K2SbSe
1.0
0.0000 3.9213 3.9213
3.9213 0.0000 3.9213
3.9213 3.9213 0.0000
K Sb Se
2 1 1
direct
0.0000 0.0000 0.0000 K
0.2500 0.2500 0.2500 K
0.5000 0.5000 0.5000 Sb
0.7500 0.7500 0.7500 Se
```

---

10.
ReIrPdPb2: PBEsol geometry, SCAN.

Results
- SG: P4/mmm (123)
- Density: 11881 kg/m3
- Density of states at the Fermi level: 5.37 states/eV/cell
- DFT total energy: -63.934 eV per atom

Structure (POSCAR):
```
ReIrPdPb2
1.0
5.1471 0.0000 0.0000
0.0000 5.1471 0.0000
0.0000 0.0000 4.7439
Re Ir Pd Pb
1 1 1 2
direct
0.0000 0.0000 0.0000 Re
0.0000 0.0000 0.5000 Ir
0.5000 0.5000 0.0000 Pd
0.0000 0.5000 0.5000 Pb
0.5000 0.0000 0.5000 Pb
```

---

11.
Nb2FeReAs: PBEsol geometry, SCAN.

Results
- SG: P4/mmm (123)
- Density: 9399 kg/m3
- Density of states at the Fermi level: 3.50 states/eV/cell
- DFT total energy: -34.171 eV per atom

Structure (POSCAR):
```
Nb2FeReAs
1.0
4.6732 0.0000 0.0000
0.0000 4.6732 0.0000
0.0000 0.0000 4.0676
Nb Fe Re As
2 1 1 1
direct
0.0000 0.5000 0.0000 Nb
0.5000 0.0000 0.0000 Nb
0.0000 0.0000 0.5000 Fe
0.5000 0.5000 0.5000 Re
0.0000 0.0000 0.0000 As
```

---

12.
Th2Se5: PBEsol geometry, SCAN.

Results
- SG: Pbcn (60)
- Formation energy from raw total energies: -1.6801 eV/atom
- Density: 8590 kg/m3
- DFT total energy: -43.427 eV per atom

Structure (POSCAR):
```
Th2Se5
1.0
7.8972 0.0000 0.0000
0.0000 10.6458 0.0000
0.0000 0.0000 7.8989
Th Se
8 20
direct
0.2438 0.1462 0.0062 Th
0.2438 0.8538 0.5062 Th
0.2562 0.3538 0.5062 Th
0.2562 0.6462 0.0062 Th
0.7438 0.3538 0.9938 Th
0.7438 0.6462 0.4938 Th
0.7562 0.1462 0.4938 Th
0.7562 0.8538 0.9938 Th
0.0000 0.2503 0.7500 Se
0.0000 0.7497 0.2500 Se
0.1154 0.3961 0.1349 Se
0.1154 0.6039 0.6349 Se
0.1280 0.1068 0.3785 Se
0.1280 0.8932 0.8785 Se
0.3720 0.3932 0.8785 Se
0.3720 0.6068 0.3785 Se
0.3846 0.1039 0.6349 Se
0.3846 0.8961 0.1349 Se
0.5000 0.2497 0.2500 Se
0.5000 0.7503 0.7500 Se
0.6154 0.1039 0.8651 Se
0.6154 0.8961 0.3651 Se
0.6280 0.3932 0.6215 Se
0.6280 0.6068 0.1215 Se
0.8720 0.1068 0.1215 Se
0.8720 0.8932 0.6215 Se
0.8846 0.3961 0.3651 Se
0.8846 0.6039 0.8651 Se
```

---

13.
YBe3Rh: PBEsol geometry, SCAN.

Results
- SG: Pm-3m (221)
- Density: 4922 kg/m3
- Density of states at the Fermi level: 1.98 states/eV/cell
- DFT total energy: -15.291 eV per atom

Structure (POSCAR):
```
YBe3Rh
1.0
4.1952 0.0000 0.0000
0.0000 4.1952 0.0000
0.0000 0.0000 4.1952
Y Be Rh
1 3 1
direct
0.0000 0.0000 0.0000 Y
0.0000 0.5000 0.5000 Be
0.5000 0.0000 0.5000 Be
0.5000 0.5000 0.0000 Be
0.5000 0.5000 0.5000 Rh
```

---

14.
TmAg: PBEsol geometry, SCAN.

Results
- SG: Pm-3m (221)
- Density: 10516 kg/m3
- Density of states at the Fermi level: 0.79 states/eV/cell
- DFT total energy: -42.006 eV per atom

Structure (POSCAR):
```
TmAg
1.0
3.5225 0.0000 0.0000
0.0000 3.5225 0.0000
0.0000 0.0000 3.5225
Tm Ag
1 1
direct
0.0000 0.0000 0.0000 Tm
0.5000 0.5000 0.5000 Ag
```

---

15.
ZnTcSe2: PBEsol geometry, SCAN.

Results
- SG: C2/m (12)
- Formation energy from raw total energies: 0.0206 eV/atom
- Density: 7782 kg/m3
- Density of states at the Fermi level: 2.93 states/eV/cell
- DFT total energy: -22.162 eV per atom

Structure (POSCAR):
```
ZnTcSe2
1.0
2.8352 -1.6330 0.0000
2.8352 1.6330 0.0000
-1.8244 0.0000 7.4041
Zn Tc Se
1 1 2
direct
0.0000 0.0000 0.0000 Zn
0.5000 0.5000 0.5000 Tc
0.2410 0.2410 0.7302 Se
0.7590 0.7590 0.2698 Se
```

---

16.
Zr2Si2W: PBEsol geometry, SCAN.

Results
- SG: P4/mbm (127)
- Formation energy from raw total energies: -0.7433 eV/atom
- Density: 8427 kg/m3
- Density of states at the Fermi level: 2.94 states/eV/cell
- DFT total energy: -30.967 eV per atom

Structure (POSCAR):
```
Zr2Si2W
1.0
6.6634 0.0000 0.0000
0.0000 6.6634 0.0000
0.0000 0.0000 3.7498
Zr Si W
4 4 2
direct
0.1745 0.3255 0.0000 Zr
0.3255 0.8255 0.0000 Zr
0.6745 0.1745 0.0000 Zr
0.8255 0.6745 0.0000 Zr
0.1282 0.6282 0.5000 Si
0.3718 0.1282 0.5000 Si
0.6282 0.8718 0.5000 Si
0.8718 0.3718 0.5000 Si
0.0000 0.0000 0.5000 W
0.5000 0.5000 0.5000 W
```

---

17.
Ba3Li2V2Cl4O7: PBEsol geometry, SCAN.

Results
- SG: C2/m (12)
- Formation energy from raw total energies: -2.8137 eV/atom
- Density: 3946 kg/m3
- Density of states at the Fermi level: 0.00 states/eV/cell
- DFT total energy: -15.810 eV per atom

Structure (POSCAR):
```
Ba3Li2V2Cl4O7
1.0
8.0312 -2.8659 0.0000
8.0312 2.8659 0.0000
-0.1239 0.0000 14.2897
Ba Li V Cl O
6 4 4 8 14
direct
0.0000 0.0000 0.0000 Ba
0.0000 0.0000 0.5000 Ba
0.3635 0.3635 0.2741 Ba
0.3653 0.3653 0.7194 Ba
0.6347 0.6347 0.2806 Ba
0.6365 0.6365 0.7259 Ba
0.0000 0.5000 0.5000 Li
0.1975 0.1975 0.8829 Li
0.5000 0.0000 0.5000 Li
0.8025 0.8025 0.1171 Li
0.0039 0.0039 0.7473 V
0.1886 0.1886 0.1279 V
0.8114 0.8114 0.8721 V
0.9961 0.9961 0.2527 V
0.1843 0.1843 0.3793 Cl
0.1879 0.1879 0.6210 Cl
0.3828 0.3828 0.4984 Cl
0.4974 0.4974 0.8843 Cl
0.5026 0.5026 0.1157 Cl
0.6172 0.6172 0.5016 Cl
0.8121 0.8121 0.3790 Cl
0.8157 0.8157 0.6207 Cl
0.0044 0.4790 0.1665 O
0.0872 0.0872 0.1798 O
0.0885 0.0885 0.8175 O
0.1698 0.1698 0.0126 O
0.2321 0.7625 0.3242 O
0.2375 0.7679 0.6758 O
0.4790 0.0044 0.1665 O
0.5210 0.9956 0.8335 O
0.7625 0.2321 0.3242 O
0.7679 0.2375 0.6758 O
0.8302 0.8302 0.9874 O
0.9115 0.9115 0.1825 O
0.9128 0.9128 0.8202 O
0.9956 0.5210 0.8335 O
```

---

18.
LiTcRu2: PBEsol geometry, SCAN.

Results
- SG: I-4m2 (119)
- Density: 9882 kg/m3
- Density of states at the Fermi level: 3.16 states/eV/cell
- DFT total energy: -26.520 eV per atom

Structure (POSCAR):
```
LiTcRu2
1.0
-1.7928 1.7928 4.0134
1.7928 -1.7928 4.0134
1.7928 1.7928 -4.0134
Li Tc Ru
1 1 2
direct
0.0000 0.0000 0.0000 Li
0.2500 0.7500 0.5000 Tc
0.5000 0.5000 0.0000 Ru
0.7500 0.2500 0.5000 Ru
```

---

19.
BaTl3: PBEsol geometry, SCAN.

Results
- SG: P2/m (10)
- Density: 9685 kg/m3
- Density of states at the Fermi level: 1.60 states/eV/cell
- DFT total energy: -64.469 eV per atom

Structure (POSCAR):
```
BaTl3
1.0
3.8100 0.0000 0.0000
0.0000 5.2746 0.0000
-1.0423 0.0000 6.4029
Ba Tl
1 3
direct
0.0000 0.0000 0.0000 Ba
0.3066 0.5000 0.7204 Tl
0.5000 0.0000 0.5000 Tl
0.6934 0.5000 0.2796 Tl
```

---

20.
TbAl8Cu4: PBEsol geometry, SCAN.

Results
- SG: I4/mmm (139)
- Density: 5401 kg/m3
- Density of states at the Fermi level: 3.02 states/eV/cell
- DFT total energy: -13.436 eV per atom

Structure (POSCAR):
```
TbAl8Cu4
1.0
-4.3578 4.3578 2.5457
4.3578 -4.3578 2.5457
4.3578 4.3578 -2.5457
Tb Al Cu
1 8 4
direct
0.0000 0.0000 0.0000 Tb
0.0000 0.3471 0.3471 Al
0.0000 0.6529 0.6529 Al
0.2815 0.5000 0.7815 Al
0.3471 0.0000 0.3471 Al
0.5000 0.2815 0.7815 Al
0.5000 0.7185 0.2185 Al
0.6529 0.0000 0.6529 Al
0.7185 0.5000 0.2185 Al
0.0000 0.0000 0.5000 Cu
0.0000 0.5000 0.0000 Cu
0.5000 0.0000 0.0000 Cu
0.5000 0.5000 0.5000 Cu
```

---

21.
ScTlTe: PBEsol geometry, SCAN.

Results
- SG: I4mm (107)
- Formation energy from raw total energies: -0.5883 eV/atom
- Density: 8265 kg/m3
- Density of states at the Fermi level: 2.01 states/eV/cell
- DFT total energy: -41.871 eV per atom

Structure (POSCAR):
```
ScTlTe
1.0
-1.8557 1.8557 5.4984
1.8557 -1.8557 5.4984
1.8557 1.8557 -5.4984
Sc Tl Te
1 1 1
direct
0.0000 0.0000 0.0000 Sc
0.6793 0.6793 0.0000 Tl
0.3856 0.3856 0.0000 Te
```

---

22.
LaCdBiRh2: PBEsol geometry, SCAN.

Results
- SG: P4/mmm (123)
- Density: 7739 kg/m3
- Density of states at the Fermi level: 2.56 states/eV/cell
- DFT total energy: -43.142 eV per atom

Structure (POSCAR):
```
LaCdBiRh2
1.0
4.7427 0.0000 0.0000
0.0000 4.7427 0.0000
0.0000 0.0000 6.3539
La Cd Bi Rh
1 1 1 2
direct
0.0000 0.0000 0.0000 La
0.5000 0.5000 0.5000 Cd
0.0000 0.0000 0.5000 Bi
0.0000 0.5000 0.0000 Rh
0.5000 0.0000 0.0000 Rh
```

---

23.
LuTaRu2: PBEsol geometry, SCAN.

Results
- SG: Fm-3m (225)
- Density: 14233 kg/m3
- Density of states at the Fermi level: 0.47 states/eV/cell
- DFT total energy: -48.544 eV per atom

Structure (POSCAR):
```
LuTaRu2
1.0
0.0000 3.1930 3.1930
3.1930 0.0000 3.1930
3.1930 3.1930 0.0000
Lu Ta Ru
1 1 2
direct
0.0000 0.0000 0.0000 Lu
0.5000 0.5000 0.5000 Ta
0.2500 0.2500 0.2500 Ru
0.7500 0.7500 0.7500 Ru
```

---

24.
NiOsO3: PBEsol geometry, SCAN.

Results
- SG: Pm-3m (221)
- Formation energy from raw total energies: -0.2157 eV/atom
- Density: 8903 kg/m3
- Density of states at the Fermi level: 8.46 states/eV/cell
- DFT total energy: -21.565 eV per atom

Structure (POSCAR):
```
NiOsO3
1.0
3.8117 0.0000 0.0000
0.0000 3.8117 0.0000
0.0000 0.0000 3.8117
Ni Os O
1 1 3
direct
0.0000 0.0000 0.0000 Ni
0.5000 0.5000 0.5000 Os
0.0000 0.5000 0.5000 O
0.5000 0.0000 0.5000 O
0.5000 0.5000 0.0000 O
```

---

25.
BaGe2O2: PBEsol geometry, SCAN.

Results
- SG: I4/mmm (139)
- Formation energy from raw total energies: -0.9076 eV/atom
- Density: 6300 kg/m3
- Density of states at the Fermi level: 1.13 states/eV/cell
- DFT total energy: -18.945 eV per atom

Structure (POSCAR):
```
BaGe2O2
1.0
-1.7645 1.7645 6.6579
1.7645 -1.7645 6.6579
1.7645 1.7645 -6.6579
Ba Ge O
1 2 2
direct
0.0000 0.0000 0.0000 Ba
0.2500 0.7500 0.5000 Ge
0.7500 0.2500 0.5000 Ge
0.3932 0.3932 0.0000 O
0.6068 0.6068 0.0000 O
```